NaFe2O4 | PBE with a Hubbard U | optimized geometry

Cell and atoms, written as POSCAR:
```
NaFe2O4
1.0
8.9594 0.0000 0.0000
0.0000 2.9433 0.0000
0.0000 0.0000 10.8307
Na Fe O
4 8 16
Direct
0.2447 0.2500 0.1599
0.2553 0.7500 0.6599
0.7447 0.2500 0.3401
0.7553 0.7500 0.8401
0.0654 0.2500 0.3877
0.0828 0.2500 0.8993
0.4172 0.7500 0.3993
0.4346 0.7500 0.8877
0.5654 0.2500 0.1123
0.5828 0.2500 0.6007
0.9172 0.7500 0.1007
0.9346 0.7500 0.6123
0.0267 0.7500 0.7919
0.0738 0.2500 0.5778
0.1148 0.7500 0.0196
0.2053 0.7500 0.3480
0.2947 0.2500 0.8480
0.3852 0.2500 0.5196
0.4262 0.7500 0.0778
0.4733 0.2500 0.2919
0.5267 0.7500 0.7081
0.5738 0.2500 0.9222
0.6148 0.7500 0.4804
0.7053 0.7500 0.1520
0.7947 0.2500 0.6520
0.8852 0.2500 0.9804
0.9262 0.7500 0.4222
0.9733 0.2500 0.2081
```

Summary:
The energy above the lowest structure with this stoichiometry comes out at 176.6 meV/atom. For the theoretical density, the calculation gives 4.62 g cm⁻³. The calculation puts the volume at 286 Å³ per cell.